A plane-wave DFT calculation with GGA-PBE was carried out for an optimized crystal structure of NaMnFe3.

abc: 4.3280 4.3280 4.3280
angles: 90.00 90.00 90.00
With the nearest neighbours (Å) after each atom.
Positions (direct):
Fe 0.5000 0.0000 0.0000  2 Mn 2.16
Fe 0.0000 0.0000 0.5000  2 Mn 2.16
Fe 0.0000 0.5000 0.0000  2 Mn 2.16
Mn 0.0000 0.0000 0.0000  6 Fe 2.16
Na 0.5000 0.5000 0.5000  12 Fe 3.06

## Properties
V, Å³/cell: 81
Electronic total energy, eV/atom: -6.097
Formation enthalpy at 0 K, kJ per mole of atoms: 104
Symmetry: Pm-3m, No. 221